[1]
# AcPrTe2 | Alexandria via LeMat-Bulk | PBE | optimized geometry
data_AcPrTe2
_chemical_formula_sum 'Ac3 Pr3 Te6'
_symmetry_space_group_name_H-M 'R -3 m'
_symmetry_Int_Tables_number 166
_symmetry_space_group_name_Hall '-R 3 2"'
_cell_length_a 4.6449
_cell_length_b 4.6449
_cell_length_c 22.5627
_cell_angle_alpha 90.00
_cell_angle_beta 90.00
_cell_angle_gamma 120.00
loop_
_atom_site_label
_atom_site_fract_x
_atom_site_fract_y
_atom_site_fract_z
Ac1 0.0000 0.0000 0.0000
Pr1 0.0000 0.0000 0.5000
Te1 0.0000 0.0000 0.2460
# * raw formation energy: -1.466 eV per atom
# * ΔE to the lowest computed polymorph: 0.0 meV/atom
# * crystal system: trigonal


[2]
# Ac3Pr5Te8 | Alexandria via LeMat-Bulk | PBE | optimized geometry
data_Ac3Pr5Te8
_chemical_formula_sum 'Ac3 Pr5 Te8'
_symmetry_space_group_name_H-M 'P m -3 m'
_symmetry_Int_Tables_number 221
_symmetry_space_group_name_Hall '-P 4 2 3'
_cell_length_a 7.9348
_cell_length_b 7.9348
_cell_length_c 7.9348
_cell_angle_alpha 90.00
_cell_angle_beta 90.00
_cell_angle_gamma 90.00
loop_
_atom_site_label
_atom_site_fract_x
_atom_site_fract_y
_atom_site_fract_z
Ac1 0.0000 0.0000 0.5000
Pr1 0.0000 0.0000 0.0000
Pr2 0.0000 0.5000 0.5000
Pr3 0.5000 0.5000 0.5000
Te1 0.2529 0.2529 0.2529
# * raw formation energy: -1.360 eV per atom
# * crystal system: cubic